Run i
MgAlSe2: relaxed, PBE.

abc: 4.907 4.907 4.907
angles: 60.00 60.00 60.00
Fractional coordinates of all 4 atoms:
Al  0.500  0.500  0.500
Mg  0.750  0.750  0.750
Se  0.000  0.000  0.000
Se  0.250  0.250  0.250

Run ii
MgAlSe2: relaxed, PBE.

abc: 3.865 3.865 5.580
angles: 90.00 90.00 90.00
Fractional coordinates of all 4 atoms:
Al  0.000  0.000  0.388
Mg  0.500  0.500  0.874
Se  0.000  0.000  0.868
Se  0.500  0.500  0.370

Energy above the most stable structure, in meV per atom: run i 901; run ii 0

Run i
MgAlSe2: relaxed, PBE.

abc: 8.045 8.045 8.045
angles: 28.74 28.74 28.74
Fractional coordinates of all 4 atoms:
Al  0.511  0.511  0.511
Mg  0.735  0.735  0.735
Se  0.030  0.030  0.030
Se  0.225  0.225  0.225

Run ii
MgAlSe2: relaxed, PBE.

abc: 6.960 6.960 6.960
angles: 150.25 149.81 42.90
Fractional coordinates of all 4 atoms:
Al  0.541  0.541  0.000
Mg  0.291  0.791  0.500
Se  0.963  0.963  0.000
Se  0.706  0.206  0.500

Energy above the most stable structure, in meV per atom: run i 122; run ii 0

Run i
MgAlSe2: relaxed, PBE.

abc: 6.867 6.867 3.713
angles: 89.99 89.99 30.18
Fractional coordinates of all 4 atoms:
Al  0.538  0.538  0.376
Mg  0.775  0.775  0.874
Se  0.974  0.974  0.875
Se  0.213  0.213  0.375

Run ii
MgAlSe2: relaxed, PBE.

abc: 4.812 4.812 4.812
angles: 60.00 60.00 60.00
Fractional coordinates of all 4 atoms:
Mg  0.000  0.000  0.000
Al  0.500  0.500  0.500
Se  0.250  0.250  0.250
Se  0.750  0.750  0.750

Run iii
MgAlSe2: relaxed, PBE.

abc: 5.541 6.712 4.168
angles: 97.19 63.14 130.75
Fractional coordinates of all 4 atoms:
Al  0.500  0.500  0.000
Mg  0.500  0.000  0.500
Se  0.000  0.000  0.000
Se  0.000  0.500  0.500

Run iv
MgAlSe2: relaxed, PBE.

abc: 3.874 3.874 6.753
angles: 73.35 73.35 60.13
Fractional coordinates of all 4 atoms:
Al  0.250  0.250  0.250
Mg  0.750  0.750  0.750
Se  0.998  0.998  0.007
Se  0.502  0.502  0.493

Energy above the most stable structure, in meV per atom: run i 99; run ii 436; run iii 238; run iv 0

Run i
MgAlSe2: relaxed, PBE.

abc: 4.423 4.423 6.252
angles: 90.00 90.00 120.00
Fractional coordinates of all 4 atoms:
Mg  0.667  0.333  0.486
Al  0.000  0.000  0.976
Se  0.667  0.333  0.906
Se  0.000  0.000  0.382

Run ii
MgAlSe2: relaxed, PBE.

abc: 3.546 3.823 7.246
angles: 115.66 90.00 90.00
Fractional coordinates of all 4 atoms:
Al  0.500  0.250  0.250
Mg  0.500  0.750  0.750
Se  0.000  0.278  0.002
Se  0.000  0.222  0.498

Energy above the most stable structure, in meV per atom: run i 0; run ii 181

Run i
MgAlSe2: relaxed, PBE.

abc: 3.391 3.391 9.506
angles: 90.00 90.00 109.04
Fractional coordinates of all 4 atoms:
Al  0.000  0.000  0.483
Mg  0.500  0.500  0.756
Se  0.000  0.000  0.926
Se  0.500  0.500  0.335

Run ii
MgAlSe2: relaxed, PBE.

abc: 5.491 5.491 5.491
angles: 140.83 97.30 95.61
Fractional coordinates of all 4 atoms:
Al  0.750  0.250  0.500
Mg  0.250  0.750  0.500
Se  0.992  0.992  0.000
Se  0.508  0.508  0.000

Energy above the most stable structure, in meV per atom: run i 296; run ii 0

Run i
MgAlSe2: relaxed, PBE.

abc: 4.111 4.111 7.378
angles: 90.00 90.00 126.88
Fractional coordinates of all 4 atoms:
Al  0.500  0.500  0.250
Mg  0.500  0.500  0.750
Se  0.000  0.000  0.007
Se  0.000  0.000  0.493

Run ii
MgAlSe2: relaxed, PBE.

abc: 5.885 5.885 7.634
angles: 67.33 67.33 90.00
Fractional coordinates of all 8 atoms:
Mg  0.500  0.500  0.000
Mg  0.250  0.750  0.500
Al  0.000  0.000  0.000
Al  0.750  0.250  0.500
Se  0.633  0.125  0.250
Se  0.117  0.625  0.250
Se  0.375  0.367  0.750
Se  0.875  0.883  0.750

Run iii
MgAlSe2: relaxed, PBE.

abc: 3.392 3.392 6.869
angles: 90.00 90.00 90.00
Fractional coordinates of all 4 atoms:
Al  0.500  0.500  0.250
Mg  0.500  0.500  0.750
Se  0.000  0.000  0.002
Se  0.000  0.000  0.498

Run iv
MgAlSe2: relaxed, PBE.

abc: 3.718 7.449 3.664
angles: 90.00 90.00 90.00
Fractional coordinates of all 4 atoms:
Al  0.500  0.000  0.500
Mg  0.000  0.500  0.500
Se  0.000  0.000  0.000
Se  0.500  0.500  0.000

Energy above the most stable structure, in meV per atom: run i 165; run ii 0; run iii 298; run iv 134

Run i
MgAl3Se: relaxed, PBE.

abc: 5.109 5.109 5.109
angles: 90.00 90.00 90.00
Fractional coordinates of all 5 atoms:
Mg  0.000  0.000  0.000
Al  0.000  0.500  0.000
Al  0.000  0.000  0.500
Al  0.500  0.000  0.000
Se  0.500  0.500  0.500

Run ii
MgAl3Se: relaxed, PBE.

abc: 5.021 5.021 5.021
angles: 90.00 90.00 90.00
Fractional coordinates of all 5 atoms:
Mg  0.500  0.500  0.500
Al  0.000  0.500  0.000
Al  0.000  0.000  0.500
Al  0.500  0.000  0.000
Se  0.000  0.000  0.000

Energy above the most stable structure, in meV per atom: run i 190; run ii 0

Run i
MgAlSi: relaxed, PBE.

abc: 4.630 4.634 5.576
angles: 90.00 90.00 119.97
Fractional coordinates of all 6 atoms:
Mg  0.000  0.000  0.000
Mg  0.000  0.000  0.500
Al  0.667  0.334  0.250
Al  0.333  0.666  0.750
Si  0.334  0.667  0.250
Si  0.666  0.333  0.750

Run ii
MgAlSi: relaxed, PBE.

abc: 2.962 2.962 6.896
angles: 90.00 90.00 120.00
Fractional coordinates of all 3 atoms:
Al  0.000  0.000  0.984
Mg  0.667  0.333  0.339
Si  0.333  0.667  0.676

Run iii
MgAlSi: relaxed, PBE.

abc: 4.626 3.302 7.477
angles: 90.00 105.23 90.00
Fractional coordinates of all 6 atoms:
Mg  0.777  0.250  0.646
Mg  0.223  0.750  0.354
Al  0.232  0.250  0.990
Al  0.768  0.750  0.010
Si  0.676  0.250  0.267
Si  0.324  0.750  0.733

Energy above the most stable structure, in meV per atom: run i 16; run ii 132; run iii 0